No. 1
BeCo2Rh (PBE, relaxed); energy of formation from the pure elements = 0.139 eV/atom; electronic total energy = -24.7 eV per cell; D(E_F) = 5.45 states/eV/cell; symmetry = Cmmm (65); V = 11.439 Å³/atom
1.0
2.5250 -0.0312 0.0000
-1.0106 2.3142 0.0000
0.0000 0.0000 7.8731
Co Rh Be
2 1 1
direct
0.0000 0.0000 0.9732 Co
0.0000 0.0000 0.5268 Co
0.5000 0.5000 0.2500 Rh
0.5000 0.5000 0.7500 Be


No. 2
Be4Co3Rh (PBE, relaxed); energy of formation from the pure elements = -0.367 eV/atom; electronic total energy = -46.5 eV per cell; D(E_F) = 7.23 states/eV/cell; symmetry = Pmmm (47); V = 9.318 Å³/atom
1.0
2.6906 0.0000 0.0000
0.0000 3.7197 0.0000
0.0000 0.0000 7.4484
Be Co Rh
4 3 1
direct
0.0000 0.0000 0.5000 Be
0.0000 0.5000 0.7416 Be
0.0000 0.0000 0.0000 Be
0.0000 0.5000 0.2584 Be
0.5000 0.0000 0.2604 Co
0.5000 0.5000 0.5000 Co
0.5000 0.0000 0.7396 Co
0.5000 0.5000 0.0000 Rh


No. 3
BeCoRh2 (PBE, relaxed); energy of formation from the pure elements = -0.168 eV/atom; electronic total energy = -26.2 eV per cell; D(E_F) = 4.98 states/eV/cell; symmetry = Imm2 (44); V = 11.796 Å³/atom
1.0
4.8395 -0.0006 0.0008
2.3071 4.2542 -0.0008
-3.0946 -2.9312 2.2919
Co Rh Be
1 2 1
direct
0.2786 0.7786 0.5000 Co
0.0033 0.0033 0.0000 Rh
0.7229 0.2229 0.5000 Rh
0.4953 0.4953 0.0000 Be


No. 4
BeCoRh2 (PBE, relaxed); energy of formation from the pure elements = -0.115 eV/atom; electronic total energy = -26.0 eV per cell; D(E_F) = 3.61 states/eV/cell; symmetry = R-3m (166); V = 12.247 Å³/atom
1.0
7.9150 -0.0359 -0.0211
7.4666 2.6264 -0.0211
7.4666 1.2575 2.3059
Co Rh Be
1 2 1
direct
0.7500 0.7500 0.7500 Co
0.9935 0.9935 0.9935 Rh
0.5065 0.5065 0.5065 Rh
0.2500 0.2500 0.2500 Be


No. 5
Be3CoRh (PBE, relaxed); energy of formation from the pure elements = 0.643 eV/atom; electronic total energy = -22.4 eV per cell; energy above the most stable polymorph in this dataset = 92.7 kJ per mole of atoms; D(E_F) = 5.89 states/eV/cell; symmetry = Pm-3m (221); V = 13.471 Å³/atom
1.0
-2.9022 0.7946 -2.7387
-2.8244 -0.2625 2.9169
0.3930 3.9817 0.7388
Co Rh Be
1 1 3
direct
0.5000 0.5000 0.5000 Co
0.0000 0.0000 0.0000 Rh
0.0000 0.5000 0.0000 Be
0.0000 0.0000 0.5000 Be
0.5000 0.0000 0.0000 Be


No. 6
BeCoRh4 (PBE, relaxed); energy of formation from the pure elements = 0.539 eV/atom; electronic total energy = -37.0 eV per cell; D(E_F) = 8.80 states/eV/cell; symmetry = F-43m (216); V = 14.976 Å³/atom
1.0
-1.8651 -4.5120 1.1998
-1.5598 -0.9085 4.6923
-4.9075 -0.5166 0.9620
Be Co Rh
1 1 4
direct
0.2500 0.2500 0.2500 Be
0.0000 0.0000 0.0000 Co
0.6249 0.6249 0.1254 Rh
0.6249 0.1254 0.6249 Rh
0.6249 0.6249 0.6249 Rh
0.1254 0.6249 0.6249 Rh


No. 7
BeCoSiRh (PBE, relaxed); raw formation energy = -0.675 eV per atom; electronic total energy = -26.3 eV per cell; D(E_F) = 1.13 states/eV/cell; symmetry = F-43m (216); V = 10.788 Å³/atom
1.0
3.9370 0.0000 0.0000
1.9685 3.4096 0.0000
1.9685 1.1365 3.2146
Co Si Rh Be
1 1 1 1
direct
0.0000 0.0000 0.0000 Co
0.7500 0.7500 0.7500 Si
0.5000 0.5000 0.5000 Rh
0.2500 0.2500 0.2500 Be


No. 8
TaBeCoRh (PBE, relaxed); energy of formation from the pure elements = -0.359 eV/atom; electronic total energy = -31.5 eV per cell; D(E_F) = 3.06 states/eV/cell; symmetry = F-43m (216); V = 13.007 Å³/atom
1.0
4.1904 0.0000 0.0000
2.0952 3.6290 0.0000
2.0952 1.2097 3.4214
Co Rh Be Ta
1 1 1 1
direct
0.2500 0.2500 0.2500 Co
0.7500 0.7500 0.7500 Rh
0.5000 0.5000 0.5000 Be
0.0000 0.0000 0.0000 Ta


Question: Which formula does entry 1 have?
Answer: BeCo2Rh